TeRuSe2 PBE-GGA relaxed; DOS at the Fermi energy = 0.5400 states/eV per atom; symmetry = Cm, No. 8; formation energy from raw total energies = 0.042 eV/atom
1.0
-2.9309 2.3214 1.4116
-3.9286 0.2684 -0.6826
-0.6805 -5.5700 5.7846
Te Se Ru
1 2 1
Cartesian
-3.4681 -1.9978 3.6107
-1.1678 -4.9891 5.4473
-1.6441 -0.7026 1.4720
-5.7103 -2.3510 5.0251